No. 1
First-principles (GGA-PBE) data for a relaxed ZnFeSbPd crystal, as listed in OQMD.

Properties
**Total moment**: 0.492 μB per atom
**Final energy**: -4.783 eV per atom
**Relative energy among the computed polymorphs**: 0.0000 eV per atom

Cell lengths 6.3108, 6.3108, 6.3108 Å; angles 90.00, 90.00, 90.00 degrees
Last column: nearest neighbours and their distance in Å.
Space group F-43m (No. 216)
Asymmetric unit:
Zn (0.0000, 0.0000, 0.0000) x4  4 Pd 2.73, 4 Fe 2.73
Fe (0.2500, 0.2500, 0.7500) x4  4 Sb 2.73, 4 Zn 2.73
Sb (0.0000, 0.0000, 0.5000) x4  4 Fe 2.73, 4 Pd 2.73
Pd (0.2500, 0.2500, 0.2500) x4  4 Sb 2.73, 4 Zn 2.73

---

No. 2
First-principles (GGA-PBE) data for a relaxed Zr2FeSb2Pd crystal, as listed in OQMD.

Properties
**Total moment**: 0.000 μB per atom
**Final energy**: -7.186 eV per atom

Cell lengths 6.2684, 6.2684, 12.4153 Å; angles 90.00, 90.00, 90.00 degrees
Last column: nearest neighbours and their distance in Å.
Space group I-42d (No. 122)
Asymmetric unit:
Zr (0.2376, 0.7500, 0.1250) x8  2 Fe 2.66, 2 Pd 2.75, 1 Sb 2.97
Fe (0.0000, 0.0000, 0.0000) x4  4 Sb 2.65, 4 Zr 2.66
Sb (0.2357, 0.2500, 0.1250) x8  2 Fe 2.65, 2 Pd 2.76, 1 Zr 2.97
Pd (0.0000, 0.0000, 0.5000) x4  4 Zr 2.75, 4 Sb 2.76